[1]
Nb2OsRu | GGA-PBE | relaxed

Properties
**Crystal system**: tetragonal
**Energy**: -10.326 eV/atom
**Energy of formation from the pure elements**: -0.66 eV/f.u.

Cell lengths 3.0662, 3.0662, 6.8914 Å; angles 90.00, 90.00, 90.00 degrees
Fractional coordinates of all 4 atoms:
Nb  0.0000  0.0000  0.2501
Nb  0.0000  0.0000  0.7499
Os  0.5000  0.5000  0.0000
Ru  0.5000  0.5000  0.5000

=====

[2]
Cs3VI6 | GGA-PBE | relaxed

Properties
**Crystal system**: cubic
**Excess energy over the best structure of this formula in the dataset**: 0.074 eV/f.u.
**Energy**: -3.153 eV/atom

Cell lengths 9.0437, 9.0437, 9.0437 Å; angles 60.00, 60.00, 60.00 degrees
Fractional coordinates of all 10 atoms:
Cs  0.0000  0.0000  0.0000
Cs  0.2500  0.2500  0.2500
Cs  0.7500  0.7500  0.7500
V  0.5000  0.5000  0.5000
I  0.2827  0.2827  0.7173
I  0.2827  0.7173  0.2827
I  0.2827  0.7173  0.7173
I  0.7173  0.2827  0.2827
I  0.7173  0.2827  0.7173
I  0.7173  0.7173  0.2827

=====

[3]
CaVCu | GGA-PBE | relaxed

Properties
**Crystal system**: cubic
**Excess energy over the best structure of this formula in the dataset**: 2.887 eV/f.u.
**Energy**: -3.859 eV/atom
**Energy of formation from the pure elements**: 3.64 eV/f.u.

Cell lengths 4.7452, 4.7452, 4.7452 Å; angles 60.00, 60.00, 60.00 degrees
Fractional coordinates of all 3 atoms:
Ca  0.0000  0.0000  0.0000
V  0.7500  0.7500  0.7500
Cu  0.2500  0.2500  0.2500